## Sc2HW2 (GGA-PBE)

Data for Sc2HW2 after structural relaxation.

```
5
Lattice="-4.5644 2.9124 0.3215 -2.0631 -3.6170 3.4755 -2.1189 1.2571 4.2827" Properties=species:S:1:pos:R:3 pbc="T T T"
Sc -4.9985 1.9085 3.2513
Sc -3.7479 -1.3562 4.8284
H 0.0000 0.0000 0.0000
W -2.8375 0.2891 2.8487
W -5.9089 0.2633 5.2310
```

Results
SG ... I4/mmm (139)
Calculated total energy ... -7.343 eV/atom
Density of states at the Fermi level ... 4.681 states/eV/f.u.